The following is a DFT calculation (PBE-GGA) of crystalline Ba2Sr2Br at its relaxed geometry.

Cell: 8.6470 8.6470 7.3748 Å, 90.00 90.00 90.00°
Space group P4/mbm (No. 127)
One atom of each set of equivalent atoms:
Ba: 0.1606 0.3394 0.0000 (multiplicity 4)
Sr: 0.1659 0.6659 0.5000 (multiplicity 4)
Br: 0.0000 0.0000 0.5000 (multiplicity 2)

Values from the calculation:
The uncorrected formation energy comes out at -2.13 eV/f.u. Its total energy is -2.2018 eV/atom. The calculation puts the density of states at the Fermi level at 14.3 states/eV/cell.

---

The following is a DFT calculation (PBE-GGA) of crystalline Fe2TcRu at its relaxed geometry.

Cell: 8.7432 2.6439 4.5202 Å, 90.00 99.97 90.00°
Space group Cm (No. 8)
One atom of each set of equivalent atoms:
Fe: 0.0000 0.0000 0.0000 (multiplicity 2)
Fe: 0.2468 0.5000 0.2351 (multiplicity 2)
Tc: 0.4985 0.0000 0.4928 (multiplicity 2)
Ru: 0.2528 0.0000 0.7461 (multiplicity 2)

Values from the calculation:
Its total energy is -9.0124 eV/atom. The calculation puts the density of states at the Fermi level at 10.5 states/eV/cell. For the formation energy, the calculation gives 0.13 eV per atom.

---

The following is a DFT calculation (PBE-GGA) of crystalline Y3PC at its relaxed geometry.

Cell: 4.7769 4.7769 4.7769 Å, 90.00 90.00 90.00°
Space group Pm-3m (No. 221)
One atom of each set of equivalent atoms:
Y: 0.0000 0.0000 0.5000 (multiplicity 3)
P: 0.5000 0.5000 0.5000 (multiplicity 1)
C: 0.0000 0.0000 0.0000 (multiplicity 1)

Values from the calculation:
Its total energy is -7.2861 eV/atom. The calculation puts the density of states at the Fermi level at 3.4 states/eV/cell. For the formation energy, the calculation gives -0.48 eV per atom.

---

The following is a DFT calculation (PBE-GGA) of crystalline Ca3SnRu at its relaxed geometry.

Cell: 5.3895 5.3895 5.3895 Å, 90.00 90.00 90.00°
Space group Pm-3m (No. 221)
One atom of each set of equivalent atoms:
Ca: 0.0000 0.0000 0.5000 (multiplicity 3)
Sn: 0.5000 0.5000 0.5000 (multiplicity 1)
Ru: 0.0000 0.0000 0.0000 (multiplicity 1)

Values from the calculation:
Its total energy is -3.7439 eV/atom. The calculation puts the density of states at the Fermi level at 7.0 states/eV/cell. For the formation energy, the calculation gives 0.11 eV per atom.

---

The following is a DFT calculation (PBE-GGA) of crystalline Nb2TlCo at its relaxed geometry.

Cell: 7.3816 7.3816 5.4467 Å, 90.00 90.00 90.00°
Space group I-42d (No. 122)
One atom of each set of equivalent atoms:
Nb: 0.1937 0.2500 0.1250 (multiplicity 8)
Tl: 0.0000 0.0000 0.5000 (multiplicity 4)
Co: 0.0000 0.0000 0.0000 (multiplicity 4)

Values from the calculation:
Its total energy is -6.9270 eV/atom. The calculation puts the density of states at the Fermi level at 10.1 states/eV/cell. For the formation energy, the calculation gives 0.48 eV per atom.

---

The following is a DFT calculation (PBE-GGA) of crystalline Y4Bi3H2 at its relaxed geometry.

Cell: 12.4307 9.9782 7.4531 Å, 90.00 101.39 90.00°
Space group C2/c (No. 15)
One atom of each set of equivalent atoms:
Y: 0.1101 0.1829 0.0071 (multiplicity 8)
Y: 0.1676 0.4405 0.6197 (multiplicity 8)
Bi: 0.0000 0.3757 0.2500 (multiplicity 4)
Bi: 0.1484 0.1209 0.6164 (multiplicity 8)
H: 0.1991 0.3694 0.9347 (multiplicity 8)

Values from the calculation:
Its total energy is -5.6018 eV/atom. The calculation puts the density of states at the Fermi level at 9.9 states/eV/cell.

---

The following is a DFT calculation (PBE-GGA) of crystalline Sn3HgMo at its relaxed geometry.

Cell: 5.2829 5.2829 5.2829 Å, 90.00 90.00 90.00°
Space group Pm-3m (No. 221)
One atom of each set of equivalent atoms:
Sn: 0.0000 0.0000 0.5000 (multiplicity 3)
Hg: 0.5000 0.5000 0.5000 (multiplicity 1)
Mo: 0.0000 0.0000 0.0000 (multiplicity 1)

Values from the calculation:
Its total energy is -4.4490 eV/atom. The calculation puts the density of states at the Fermi level at 0.0 states/eV/cell. For the formation energy, the calculation gives 0.18 eV per atom.

---

The following is a DFT calculation (PBE-GGA) of crystalline BeCdBi3 at its relaxed geometry.

Cell: 5.6646 5.6646 5.6646 Å, 90.00 90.00 90.00°
Space group Pm-3m (No. 221)
One atom of each set of equivalent atoms:
Be: 0.0000 0.0000 0.0000 (multiplicity 1)
Cd: 0.5000 0.5000 0.5000 (multiplicity 1)
Bi: 0.0000 0.5000 0.5000 (multiplicity 3)

Values from the calculation:
Its total energy is -2.0560 eV/atom. The calculation puts the density of states at the Fermi level at 4.9 states/eV/cell. For the formation energy, the calculation gives 1.20 eV per atom.